First-principles (meta-GGA SCAN) data for a PBEsol-optimized structure of Ca2ZrOs, as listed in Alexandria.

Lattice parameters (Å, degrees): 6.3861 6.3861 6.3861 41.41 41.41 41.41
Positions (direct):
Ca 0.0000 0.0000 0.0000
Ca 0.2147 0.2147 0.2147
Zr 0.7705 0.7705 0.7705
Os 0.4404 0.4404 0.4404

Computed properties:
- offset from the most stable computed form (eV per atom) = 0.000
- ΔH_f (0 K) (eV per formula unit) = 0.41
- energy (eV/atom) = -30.37